(1)
! K2MgAu GGA-PBE relaxed; values from VASP
! - calculated density (g/cm³) = 3.38
! - calculated total energy (eV/atom) = -1.793
! - ΔH_f (0 K) (eV/atom) = -0.0264
&SYSTEM
  ibrav = 0, nat = 4, ntyp = 3
/
ATOMIC_SPECIES
Au 196.97 Au.upf
K 39.10 K.upf
Mg 24.30 Mg.upf
ATOMIC_POSITIONS crystal
Au 0.5000 0.5000 0.7500
K 0.0000 0.0000 0.9596
K 0.0000 0.0000 0.5404
Mg 0.5000 0.5000 0.2500
CELL_PARAMETERS angstrom
4.0160 0.0000 0.0000
0.0000 3.9929 0.0000
0.0000 0.0000 9.1656

***

(2)
! KMgAu2 GGA-PBE relaxed; values from VASP
! - calculated density (g/cm³) = 6.68
! - calculated total energy (eV/atom) = -2.700
! - ΔH_f (0 K) (eV/atom) = -0.3880
&SYSTEM
  ibrav = 0, nat = 4, ntyp = 3
/
ATOMIC_SPECIES
K 39.10 K.upf
Au 196.97 Au.upf
Mg 24.30 Mg.upf
ATOMIC_POSITIONS crystal
K 0.7500 0.7500 0.7500
Au 0.9433 0.9433 0.1707
Au 0.5567 0.5567 0.3293
Mg 0.2500 0.2500 0.2500
CELL_PARAMETERS angstrom
4.7362 0.0052 0.0140
2.3623 4.1050 0.0140
2.3583 1.3655 5.8616

***

(3)
! KMg2Au GGA-PBE relaxed; values from VASP
! - ΔE to the lowest computed polymorph (eV/atom) = 0.063
! - calculated density (g/cm³) = 4.24
! - calculated total energy (eV/atom) = -2.070
! - ΔH_f (0 K) (eV/atom) = -0.1788
&SYSTEM
  ibrav = 0, nat = 4, ntyp = 3
/
ATOMIC_SPECIES
Au 196.97 Au.upf
K 39.10 K.upf
Mg 24.30 Mg.upf
ATOMIC_POSITIONS crystal
Au 0.0000 0.0000 0.4139
K 0.5000 0.5000 0.7169
Mg 0.0000 0.0000 0.0718
Mg 0.5000 0.5000 0.2974
CELL_PARAMETERS angstrom
-2.3755 2.1105 1.8079
0.5686 -1.9564 3.0311
6.2182 5.1505 2.1578

***

(4)
! KMgAu2 GGA-PBE relaxed; values from VASP
! - calculated density (g/cm³) = 8.04
! - calculated total energy (eV/atom) = -2.690
! - ΔH_f (0 K) (eV/atom) = -0.3780
&SYSTEM
  ibrav = 0, nat = 4, ntyp = 3
/
ATOMIC_SPECIES
K 39.10 K.upf
Au 196.97 Au.upf
Mg 24.30 Mg.upf
ATOMIC_POSITIONS crystal
K 0.5000 0.2500 0.2500
Au 0.0000 0.0632 0.9372
Au 0.0000 0.4368 0.5628
Mg 0.5000 0.7500 0.7500
CELL_PARAMETERS angstrom
-3.1510 -0.8128 -1.5664
-1.3793 -0.4465 3.0062
-3.4270 7.1143 3.2022

***

(5)
! K2MgAu GGA-PBE relaxed; values from VASP
! - calculated density (g/cm³) = 2.60
! - calculated total energy (eV/atom) = -1.855
! - ΔH_f (0 K) (eV/atom) = -0.0881
&SYSTEM
  ibrav = 0, nat = 8, ntyp = 3
/
ATOMIC_SPECIES
K 39.10 K.upf
Au 196.97 Au.upf
Mg 24.30 Mg.upf
ATOMIC_POSITIONS crystal
K 0.7790 0.1250 0.2500
K 0.9710 0.6250 0.2500
K 0.3750 0.2210 0.7500
K 0.8750 0.0290 0.7500
Au 0.0000 0.0000 0.0000
Au 0.7500 0.2500 0.5000
Mg 0.5000 0.5000 0.0000
Mg 0.2500 0.7500 0.5000
CELL_PARAMETERS angstrom
-4.4412 -10.4106 -4.1147
8.4440 -0.2094 -8.5843
3.6087 -6.6333 -4.7362

***

(6)
! KMg2Au GGA-PBE relaxed; values from VASP
! - ΔE to the lowest computed polymorph (eV/atom) = 0.291
! - calculated density (g/cm³) = 4.48
! - calculated total energy (eV/atom) = -1.842
! - ΔH_f (0 K) (eV/atom) = 0.0494
&SYSTEM
  ibrav = 0, nat = 4, ntyp = 3
/
ATOMIC_SPECIES
Au 196.97 Au.upf
K 39.10 K.upf
Mg 24.30 Mg.upf
ATOMIC_POSITIONS crystal
Au 0.5000 0.0000 0.5000
K 0.0000 0.5000 0.5000
Mg 0.0000 0.0000 0.0000
Mg 0.5000 0.5000 0.0000
CELL_PARAMETERS angstrom
4.4779 0.0000 0.0000
0.0000 4.7369 0.0000
0.0000 0.0000 4.9695

***

- Which value of calculated density does entry 6 give?
  4.48 g/cm³